(1)
TlTe, optimized geometry, DFT PBE-GGA; density of states at the Fermi level = 0.472 states/eV/atom
1.0
-1.801 2.306 5.612
-17.405 -5.510 -3.322
3.676 -16.379 7.909
Te Tl
32 32
direct
0.754 0.500 0.163
0.754 0.500 0.837
0.254 0.337 0.000
0.254 0.663 0.000
0.746 0.000 0.663
0.746 0.000 0.337
0.246 0.163 0.500
0.246 0.837 0.500
0.229 0.500 0.663
0.229 0.500 0.337
0.729 0.837 0.000
0.729 0.163 0.000
0.271 0.000 0.163
0.271 0.000 0.837
0.771 0.663 0.500
0.771 0.337 0.500
0.751 0.500 0.000
0.251 0.500 0.000
0.749 0.000 0.500
0.249 0.000 0.500
0.771 0.000 0.000
0.271 0.500 0.500
0.729 0.500 0.500
0.229 0.000 0.000
0.000 0.748 0.252
0.000 0.252 0.748
0.500 0.248 0.248
0.500 0.752 0.752
0.500 0.752 0.248
0.500 0.248 0.752
0.000 0.252 0.252
0.000 0.748 0.748
0.253 0.324 0.596
0.253 0.676 0.404
0.753 0.904 0.824
0.753 0.096 0.176
0.247 0.176 0.096
0.247 0.824 0.904
0.747 0.596 0.324
0.747 0.404 0.676
0.247 0.176 0.904
0.247 0.824 0.096
0.747 0.596 0.676
0.747 0.404 0.324
0.253 0.324 0.404
0.253 0.676 0.596
0.753 0.904 0.176
0.753 0.096 0.824
0.254 0.404 0.824
0.254 0.596 0.176
0.754 0.676 0.904
0.754 0.324 0.096
0.246 0.096 0.324
0.246 0.904 0.676
0.746 0.824 0.404
0.746 0.176 0.596
0.246 0.096 0.676
0.246 0.904 0.324
0.746 0.824 0.596
0.746 0.176 0.404
0.254 0.404 0.176
0.254 0.596 0.824
0.754 0.676 0.096
0.754 0.324 0.904

=====

(2)
TlTe, optimized geometry, DFT PBE-GGA; density of states at the Fermi level = 0.486 states/eV/atom
1.0
4.671 0.000 0.000
-2.336 4.045 0.000
0.000 0.000 9.192
Tl Te
2 2
direct
0.333 0.667 0.711
0.667 0.333 0.211
0.333 0.667 0.371
0.667 0.333 0.871

=====

(3)
Tl5Te3, optimized geometry, DFT PBE-GGA; polymorph energy (0 for the lowest one) = 0.0080 eV/atom; density of states at the Fermi level = 0.364 states/eV/atom
1.0
6.150 0.000 2.318
3.075 9.188 1.159
-0.166 0.000 9.756
Tl Te
10 6
direct
0.250 0.500 0.500
0.750 0.500 0.500
0.914 0.865 0.306
0.086 0.135 0.694
0.414 0.306 0.865
0.586 0.694 0.135
0.720 0.865 0.694
0.280 0.135 0.306
0.780 0.306 0.135
0.220 0.694 0.865
0.250 0.000 0.000
0.750 0.000 0.000
0.844 0.500 0.813
0.156 0.500 0.187
0.344 0.813 0.500
0.656 0.187 0.500

=====

(4)
TlTe, optimized geometry, DFT PBE-GGA; density of states at the Fermi level = 0.231 states/eV/atom
1.0
1.607 7.346 -0.106
-1.607 7.346 -0.106
0.000 2.012 8.711
Tl Te
3 3
direct
0.996 0.996 0.996
0.955 0.955 0.567
0.267 0.267 0.968
0.348 0.348 0.322
0.663 0.663 0.721
0.604 0.604 0.259

=====

(5)
TlTe, optimized geometry, DFT PBE-GGA; density of states at the Fermi level = 0.788 states/eV/atom
1.0
6.260 -0.032 -0.020
5.299 3.333 -0.020
5.299 1.513 2.970
Te Tl
1 1
direct
0.000 0.000 0.000
0.500 0.500 0.500

=====

(6)
Tl2Te3, optimized geometry, DFT PBE-GGA; polymorph energy (0 for the lowest one) = 0.0000 eV/atom
1.0
7.453 0.003 -0.024
4.495 5.946 -0.024
1.928 0.960 7.870
Tl Te
4 6
direct
0.764 0.452 0.557
0.548 0.236 0.943
0.236 0.548 0.443
0.452 0.764 0.057
0.965 0.679 0.072
0.321 0.035 0.428
0.035 0.321 0.928
0.679 0.965 0.572
0.862 0.138 0.250
0.138 0.862 0.750

=====

(7)
TlTe, optimized geometry, DFT PBE-GGA; density of states at the Fermi level = 0.612 states/eV/atom
1.0
6.673 0.009 -0.001
2.823 6.046 0.001
-3.916 -4.331 3.230
Te Tl
2 2
direct
0.609 0.859 0.250
0.391 0.141 0.750
0.139 0.389 0.250
0.861 0.611 0.750

=====

(8)
TlTe, optimized geometry, DFT PBE-GGA; density of states at the Fermi level = 0.489 states/eV/atom
1.0
9.788 0.012 0.000
-7.754 5.974 0.000
-1.017 -2.993 9.264
Tl Te
8 8
direct
0.420 0.728 0.149
0.580 0.272 0.851
0.272 0.420 0.692
0.728 0.580 0.308
0.080 0.228 0.308
0.772 0.080 0.851
0.228 0.920 0.149
0.920 0.772 0.692
0.750 0.750 0.000
0.250 0.250 0.000
0.500 0.000 0.500
0.000 0.500 0.500
0.163 0.663 0.826
0.337 0.163 0.500
0.663 0.837 0.500
0.837 0.337 0.174

=====

(9)
TlTe, optimized geometry, DFT PBE-GGA; density of states at the Fermi level = 0.633 states/eV/atom
1.0
-2.682 -9.370 5.237
8.760 1.209 6.649
-2.632 2.443 3.023
Tl Te
8 8
direct
0.170 0.129 0.000
0.830 0.871 0.000
0.871 0.170 0.000
0.129 0.830 0.000
0.670 0.629 0.500
0.330 0.371 0.500
0.371 0.670 0.500
0.629 0.330 0.500
0.410 0.845 0.000
0.590 0.155 0.000
0.155 0.410 0.000
0.845 0.590 0.000
0.910 0.345 0.500
0.090 0.655 0.500
0.655 0.910 0.500
0.345 0.090 0.500

=====

(10)
TlTe, optimized geometry, DFT PBE-GGA; density of states at the Fermi level = 0.067 states/eV/atom
1.0
-0.685 0.501 5.434
-5.504 -2.384 -0.474
2.195 -4.656 -2.075
Tl Te
2 2
direct
0.168 0.250 0.336
0.832 0.750 0.664
0.500 0.000 0.000
0.500 0.500 0.000

=====

(11)
Tl4Te, optimized geometry, DFT PBE-GGA; polymorph energy (0 for the lowest one) = 0.0000 eV/atom; density of states at the Fermi level = 0.459 states/eV/atom
1.0
-1.667 2.008 -3.567
-6.437 -0.152 0.184
-0.940 6.242 1.215
Tl Te
4 1
direct
0.787 0.810 0.616
0.213 0.190 0.384
0.403 0.385 0.809
0.597 0.615 0.191
0.000 0.000 0.000

=====

(12)
TlTe, optimized geometry, DFT PBE-GGA; density of states at the Fermi level = 1.306 states/eV/atom
1.0
9.726 0.000 0.000
0.000 9.726 0.000
0.000 0.000 9.726
Tl Te
8 8
direct
0.350 0.350 0.350
0.350 0.650 0.650
0.650 0.350 0.650
0.650 0.650 0.350
0.850 0.850 0.850
0.850 0.150 0.150
0.150 0.850 0.150
0.150 0.150 0.850
0.172 0.172 0.172
0.172 0.828 0.828
0.828 0.172 0.828
0.828 0.828 0.172
0.672 0.672 0.672
0.672 0.328 0.328
0.328 0.672 0.328
0.328 0.328 0.672

=====

(13)
Tl2Te3, optimized geometry, DFT PBE-GGA; polymorph energy (0 for the lowest one) = 0.1038 eV/atom; density of states at the Fermi level = 0.815 states/eV/atom
1.0
9.979 0.000 0.000
-3.326 9.408 0.000
-3.326 -4.704 8.147
Tl Te
8 12
direct
0.933 0.433 0.433
0.000 0.000 0.067
0.567 0.500 0.000
0.500 0.067 0.500
0.433 0.933 0.933
0.000 0.000 0.567
0.500 0.567 0.500
0.067 0.500 0.000
0.495 0.250 0.245
0.005 0.750 0.255
0.750 0.245 0.995
0.250 0.255 0.505
0.745 0.995 0.250
0.755 0.505 0.750
0.250 0.495 0.745
0.750 0.005 0.755
0.245 0.750 0.495
0.255 0.250 0.005
0.995 0.745 0.750
0.505 0.755 0.250

=====

(14)
TlTe, optimized geometry, DFT PBE-GGA; density of states at the Fermi level = 0.392 states/eV/atom
1.0
3.490 0.000 0.000
0.000 3.490 0.000
0.000 0.000 11.954
Te Tl
2 2
direct
0.250 0.250 0.160
0.750 0.750 0.840
0.250 0.250 0.653
0.750 0.750 0.347

=====

(15)
TlTe, optimized geometry, DFT PBE-GGA; density of states at the Fermi level = 0.560 states/eV/atom
1.0
-1.705 9.984 -3.046
-6.508 -7.694 -3.211
-2.590 0.670 3.645
Tl Te
6 6
direct
0.864 0.355 0.250
0.509 0.864 0.750
0.645 0.509 0.250
0.136 0.645 0.750
0.491 0.136 0.250
0.355 0.491 0.750
0.753 0.985 0.250
0.768 0.753 0.750
0.015 0.768 0.250
0.247 0.015 0.750
0.232 0.247 0.250
0.985 0.232 0.750

=====

(16)
Tl4Te, optimized geometry, DFT PBE-GGA; polymorph energy (0 for the lowest one) = 0.4291 eV/atom; density of states at the Fermi level = 1.034 states/eV/atom
1.0
-3.184 2.860 4.545
-0.179 -5.337 3.233
5.367 1.519 2.804
Tl Te
4 1
direct
0.000 0.000 0.000
0.500 0.000 0.500
0.000 0.500 0.500
0.500 0.500 0.000
0.500 0.500 0.500

=====

(17)
TlTe, optimized geometry, DFT PBE-GGA; density of states at the Fermi level = 0.749 states/eV/atom
1.0
2.771 -4.800 0.000
2.771 4.800 0.000
0.000 0.000 10.617
Tl Te
4 4
direct
0.333 0.667 0.088
0.667 0.333 0.588
0.667 0.333 0.912
0.333 0.667 0.412
0.000 0.000 0.250
0.000 0.000 0.750
0.333 0.667 0.750
0.667 0.333 0.250

=====

(18)
Tl2Te3, optimized geometry, DFT PBE-GGA; polymorph energy (0 for the lowest one) = 0.2127 eV/atom; density of states at the Fermi level = 0.693 states/eV/atom
1.0
-6.677 -2.669 2.855
0.043 -5.493 5.448
-2.048 2.484 8.014
Tl Te
4 6
direct
0.884 0.884 0.347
0.384 0.384 0.847
0.116 0.116 0.653
0.616 0.616 0.153
0.983 0.750 0.750
0.750 0.517 0.750
0.517 0.983 0.750
0.250 0.483 0.250
0.483 0.017 0.250
0.017 0.250 0.250

=====

(19)
TlTe, optimized geometry, DFT PBE-GGA; density of states at the Fermi level = 0.241 states/eV/atom
1.0
-0.801 -0.290 4.708
-4.050 -3.862 -0.927
10.087 -10.832 1.051
Tl Te
6 6
direct
0.000 0.584 0.833
0.500 0.416 0.667
0.500 0.416 0.333
0.000 0.584 0.167
0.000 0.583 0.500
0.500 0.417 0.000
0.000 0.996 0.667
0.500 0.004 0.833
0.500 0.004 0.167
0.000 0.996 0.333
0.000 0.996 0.000
0.500 0.004 0.500

=====

(20)
TlTe, optimized geometry, DFT PBE-GGA; density of states at the Fermi level = 0.931 states/eV/atom
1.0
-8.151 9.128 5.128
-9.692 8.872 1.854
-10.628 6.557 4.485
Te Tl
2 2
direct
0.988 0.988 0.988
0.762 0.762 0.762
0.490 0.490 0.490
0.260 0.260 0.260

=====

no.,total DFT energy (no corrections) (eV/atom),formation energy from raw total energies (eV per atom),V (Å³ per cell)
1,-2.98,-0.23,2179.1
2,-2.84,-0.09,173.7
3,-2.93,-0.27,554.8
4,-2.84,-0.09,206.3
5,-2.76,0.00,62.9
6,-3.02,-0.19,349.0
7,-2.85,-0.09,130.2
8,-2.98,-0.23,542.6
9,-2.77,-0.01,574.6
10,-2.96,-0.20,159.6
11,-2.66,-0.14,161.4
12,-2.78,-0.03,920.2
13,-2.92,-0.09,764.9
14,-2.78,-0.03,145.6
15,-2.74,0.02,438.0
16,-2.23,0.29,243.3
17,-2.79,-0.04,282.4
18,-2.81,0.02,383.2
19,-2.88,-0.13,402.7
20,-2.69,0.06,149.3